(1)
Here is a relaxed Li2LaSm2Si2 crystal from the Alexandria database. Energies are from GGA-PBE.

Structure (POSCAR):
```
Li2LaSm2Si2
1.0
2.2793 1.3160 9.1191
-2.2793 1.3160 9.1191
0.0000 -2.6319 9.1191
Li La Sm Si
2 1 2 2
Direct
0.0934 0.0934 0.0934 Li
0.9066 0.9066 0.9066 Li
0.5000 0.5000 0.5000 La
0.3712 0.3712 0.3712 Sm
0.6288 0.6288 0.6288 Sm
0.2408 0.2408 0.2408 Si
0.7592 0.7592 0.7592 Si
```

Values from the calculation:
- Magnetic moment: 0.00 μB/f.u.
- Formation energy without anion corrections: -0.399 eV/atom

(2)
Here is a relaxed Li2LaSmSi2 crystal from the Alexandria database. Energies are from GGA-PBE.

Structure (POSCAR):
```
Li2LaSmSi2
1.0
4.4827 0.0000 0.0000
-2.2413 3.8821 0.0000
0.0000 0.0000 7.5888
Li La Sm Si
2 1 1 2
Direct
0.3333 0.6667 0.2213 Li
0.6667 0.3333 0.7787 Li
0.0000 0.0000 0.5000 La
0.0000 0.0000 0.0000 Sm
0.3333 0.6667 0.7621 Si
0.6667 0.3333 0.2379 Si
```

Values from the calculation:
- Magnetic moment: 0.00 μB/f.u.
- Formation energy without anion corrections: -0.541 eV/atom

(3)
Here is a relaxed LiLaSmSi crystal from the Alexandria database. Energies are from GGA-PBE.

Structure (POSCAR):
```
LiLaSmSi
1.0
7.3206 0.0000 0.0000
0.0000 7.3206 0.0000
0.0000 0.0000 7.3206
Li La Sm Si
4 4 4 4
Direct
0.0000 0.0000 0.0000 Li
0.0000 0.5000 0.5000 Li
0.5000 0.0000 0.5000 Li
0.5000 0.5000 0.0000 Li
0.2500 0.2500 0.7500 La
0.2500 0.7500 0.2500 La
0.7500 0.2500 0.2500 La
0.7500 0.7500 0.7500 La
0.2500 0.2500 0.2500 Sm
0.2500 0.7500 0.7500 Sm
0.7500 0.2500 0.7500 Sm
0.7500 0.7500 0.2500 Sm
0.0000 0.0000 0.5000 Si
0.0000 0.5000 0.0000 Si
0.5000 0.0000 0.0000 Si
0.5000 0.5000 0.5000 Si
```

Values from the calculation:
- Magnetic moment: 0.00 μB/f.u.
- Formation energy without anion corrections: -0.342 eV/atom

(4)
Here is a relaxed LiLa2SiSn crystal from the Alexandria database. Energies are from GGA-PBE.

Structure (POSCAR):
```
LiLa2SiSn
1.0
5.4029 0.0000 0.0000
0.0000 5.4029 0.0000
0.0000 0.0000 4.6499
Li La Si Sn
1 2 1 1
Direct
0.0000 0.0000 0.0000 Li
0.0000 0.5000 0.0000 La
0.5000 0.0000 0.0000 La
0.5000 0.5000 0.5000 Si
0.0000 0.0000 0.5000 Sn
```

Values from the calculation:
- Magnetic moment: 0.00 μB/f.u.
- Formation energy without anion corrections: 0.034 eV/atom

(5)
Here is a relaxed Li2La2TbSi2 crystal from the Alexandria database. Energies are from GGA-PBE.

Structure (POSCAR):
```
Li2La2TbSi2
1.0
2.2432 1.2951 9.1610
-2.2432 1.2951 9.1610
0.0000 -2.5903 9.1610
Li La Tb Si
2 2 1 2
Direct
0.1083 0.1083 0.1083 Li
0.8917 0.8917 0.8917 Li
0.3713 0.3713 0.3713 La
0.6287 0.6287 0.6287 La
0.5000 0.5000 0.5000 Tb
0.2306 0.2306 0.2306 Si
0.7694 0.7694 0.7694 Si
```

Values from the calculation:
- Magnetic moment: 0.00 μB/f.u.
- Formation energy without anion corrections: -0.406 eV/atom

(6)
Here is a relaxed Li2LaTb2Si2 crystal from the Alexandria database. Energies are from GGA-PBE.

Structure (POSCAR):
```
Li2LaTb2Si2
1.0
2.2667 1.3087 8.9849
-2.2667 1.3087 8.9849
0.0000 -2.6174 8.9849
Li La Tb Si
2 1 2 2
Direct
0.0907 0.0907 0.0907 Li
0.9093 0.9093 0.9093 Li
0.5000 0.5000 0.5000 La
0.3707 0.3707 0.3707 Tb
0.6293 0.6293 0.6293 Tb
0.2432 0.2432 0.2432 Si
0.7568 0.7568 0.7568 Si
```

Values from the calculation:
- Magnetic moment: 0.00 μB/f.u.
- Formation energy without anion corrections: -0.408 eV/atom

(7)
Here is a relaxed Li2La2ThSi2 crystal from the Alexandria database. Energies are from GGA-PBE.

Structure (POSCAR):
```
Li2La2ThSi2
1.0
2.2606 1.3052 9.2235
-2.2606 1.3052 9.2235
0.0000 -2.6104 9.2235
Li La Th Si
2 2 1 2
Direct
0.0990 0.0990 0.0990 Li
0.9010 0.9010 0.9010 Li
0.3700 0.3700 0.3700 La
0.6300 0.6300 0.6300 La
0.5000 0.5000 0.5000 Th
0.2321 0.2321 0.2321 Si
0.7679 0.7679 0.7679 Si
```

Values from the calculation:
- Magnetic moment: 0.00 μB/f.u.
- Formation energy without anion corrections: -0.361 eV/atom

(8)
Here is a relaxed Li2LaTm2Si2 crystal from the Alexandria database. Energies are from GGA-PBE.

Structure (POSCAR):
```
Li2LaTm2Si2
1.0
2.2553 1.3021 8.8289
-2.2553 1.3021 8.8289
0.0000 -2.6042 8.8289
Li La Tm Si
2 1 2 2
Direct
0.0875 0.0875 0.0875 Li
0.9125 0.9125 0.9125 Li
0.5000 0.5000 0.5000 La
0.3700 0.3700 0.3700 Tm
0.6300 0.6300 0.6300 Tm
0.2458 0.2458 0.2458 Si
0.7542 0.7542 0.7542 Si
```

Values from the calculation:
- Magnetic moment: 0.00 μB/f.u.
- Formation energy without anion corrections: -0.408 eV/atom